No. 1
# ZrMo2

A geometry-optimized ZrMo2 structure (PBE, the Alexandria database).

Values from the calculation:
offset from the most stable computed form: 0.145 eV/atom
final energy: -10.075 eV/atom
energy of formation: -0.005 eV/atom

Cell: 10.409 3.243 6.674 Å, 90.00 109.39 90.00°
Fractional positions:
Zr 0.162 0.000 0.090
Zr 0.338 0.500 0.910
Zr 0.662 0.500 0.090
Zr 0.838 0.000 0.910
Mo 0.000 0.500 0.271
Mo 0.000 0.500 0.729
Mo 0.160 0.000 0.572
Mo 0.340 0.500 0.428
Mo 0.500 0.000 0.271
Mo 0.500 0.000 0.729
Mo 0.660 0.500 0.572
Mo 0.840 0.000 0.428

No. 2
# NbCrH3

A geometry-optimized NbCrH3 structure (PBE, the Alexandria database).

Values from the calculation:
offset from the most stable computed form: 0.014 eV/atom
final energy: -5.857 eV/atom

Cell: 3.361 3.361 3.361 Å, 90.00 90.00 90.00°
Fractional positions:
Nb 0.000 0.000 0.000
Cr 0.500 0.500 0.500
H 0.000 0.500 0.500
H 0.500 0.000 0.500
H 0.500 0.500 0.000

No. 3
# KBa2F

A geometry-optimized KBa2F structure (PBE, the Alexandria database).

Values from the calculation:
offset from the most stable computed form: 0.125 eV/atom
final energy: -2.854 eV/atom
energy relative to the elements, uncorrected: -1.150 eV/atom

Cell: 4.358 4.358 34.902 Å, 90.00 90.00 120.00°
Fractional positions:
K 0.000 0.000 0.000
K 0.333 0.667 0.667
K 0.667 0.333 0.333
Ba 0.000 0.000 0.122
Ba 0.000 0.000 0.878
Ba 0.333 0.667 0.545
Ba 0.333 0.667 0.789
Ba 0.667 0.333 0.211
Ba 0.667 0.333 0.455
F 0.000 0.000 0.500
F 0.333 0.667 0.167
F 0.667 0.333 0.833

No. 4
# Na2BiSb2

A geometry-optimized Na2BiSb2 structure (PBE, the Alexandria database).

Values from the calculation:
offset from the most stable computed form: 0.000 eV/atom
final energy: -3.183 eV/atom
energy relative to the elements, uncorrected: -0.230 eV/atom

Cell: 7.990 7.990 9.755 Å, 90.00 90.00 90.00°
Fractional positions:
Na 0.145 0.309 0.000
Na 0.191 0.355 0.500
Na 0.309 0.855 0.000
Na 0.355 0.809 0.500
Na 0.645 0.191 0.500
Na 0.691 0.145 0.000
Na 0.809 0.645 0.500
Na 0.855 0.691 0.000
Bi 0.000 0.000 0.326
Bi 0.000 0.000 0.674
Bi 0.500 0.500 0.174
Bi 0.500 0.500 0.826
Sb 0.129 0.629 0.250
Sb 0.129 0.629 0.750
Sb 0.371 0.129 0.250
Sb 0.371 0.129 0.750
Sb 0.629 0.871 0.250
Sb 0.629 0.871 0.750
Sb 0.871 0.371 0.250
Sb 0.871 0.371 0.750

No. 5
# Pm2Nd3SmTm6

A geometry-optimized Pm2Nd3SmTm6 structure (PBE, the Alexandria database).

Values from the calculation:
final energy: -4.597 eV/atom
energy of formation: 0.016 eV/atom

Cell: 6.209 6.209 11.711 Å, 95.05 95.05 119.98°
Fractional positions:
Pm 0.167 0.833 0.000
Pm 0.833 0.167 0.000
Nd 0.000 0.000 0.500
Nd 0.333 0.667 0.500
Nd 0.667 0.333 0.500
Sm 0.500 0.500 0.000
Tm 0.084 0.417 0.751
Tm 0.250 0.250 0.249
Tm 0.417 0.084 0.751
Tm 0.583 0.916 0.249
Tm 0.750 0.750 0.751
Tm 0.916 0.583 0.249

No. 6
# TlCd4Se

A geometry-optimized TlCd4Se structure (PBE, the Alexandria database).

Values from the calculation:
final energy: -1.490 eV/atom
energy relative to the elements, uncorrected: 0.095 eV/atom

Cell: 6.001 6.001 6.001 Å, 60.00 60.00 60.00°
Fractional positions:
Tl 0.000 0.000 0.000
Cd 0.126 0.625 0.625
Cd 0.625 0.126 0.625
Cd 0.625 0.625 0.126
Cd 0.625 0.625 0.625
Se 0.250 0.250 0.250